No. 1
The following is a DFT calculation (PBE) of crystalline ZnInReI2 at its relaxed geometry.

Unit cell a=6.096 b=6.096 c=5.579 alpha=90.00 beta=90.00 gamma=90.00
Space group P4/mmm (No. 123)
One atom of each set of equivalent atoms:
Zn  0.000  0.000  0.000
In  0.500  0.500  0.500
Re  0.500  0.500  0.000
I  0.000  0.500  0.500

Values from the calculation:
* M_tot: 4.9 μB/cell
* raw formation energy: 1.22 eV per atom
* Fermi-level density of states: 0.358 states/eV/atom
* density: 4.967 Mg/m³

=====

No. 2
The following is a DFT calculation (PBE) of crystalline HoTmMg at its relaxed geometry.

Unit cell a=3.626 b=17.127 c=5.415 alpha=90.00 beta=90.00 gamma=90.00
Space group Cmcm (No. 63)
One atom of each set of equivalent atoms:
Ho  0.000  0.227  0.250
Tm  0.000  0.095  0.750
Mg  0.000  0.435  0.750

Values from the calculation:
* M_tot: 0.0 μB/cell
* excess energy over the best structure of this formula in the dataset: 0.000 eV per formula unit
* Fermi-level density of states: 1.016 states/eV/atom
* density: 7.074 Mg/m³
* energy of formation from the pure elements: -0.05 eV per atom

=====

No. 3
The following is a DFT calculation (PBE) of crystalline Er2NpGa6 at its relaxed geometry.

Unit cell a=7.6480 b=7.6480 c=3.5702 alpha=90.00 beta=90.00 gamma=120.00
Space group P6/mmm (No. 191)
One atom of each set of equivalent atoms:
Er  0.3333  0.6667  0.0000
Np  0.0000  0.0000  0.0000
Ga  0.0000  0.3340  0.5000

Values from the calculation:
* M_tot: 4.4 μB/cell
* Fermi-level density of states: 1.133 states/eV/atom
* density: 9.089 Mg/m³
* energy of formation from the pure elements: -0.44 eV per atom

=====

No. 4
The following is a DFT calculation (PBE) of crystalline KFeBr at its relaxed geometry.

Unit cell a=3.499 b=3.499 c=13.191 alpha=90.00 beta=90.00 gamma=90.00
Space group I4mm (No. 107)
One atom of each set of equivalent atoms:
K  0.000  0.000  0.000
Fe  0.000  0.000  0.292
Br  0.000  0.000  0.676

Values from the calculation:
* M_tot: 6.6 μB/cell
* raw formation energy: 0.26 eV per atom
* excess energy over the best structure of this formula in the dataset: 0.134 eV per formula unit
* Fermi-level density of states: 1.273 states/eV/atom
* density: 3.596 Mg/m³